Entry from the Alexandria database: an optimized crystal structure of Cs4K2CdHg (PBE).

Magnetization (μB per cell): 0.0
Uncorrected energy (eV per atom): -0.869
Crystal system: monoclinic
ΔH_f (0 K) (kcal/mol of atoms): -0.4
Density of states at the Fermi level (states/eV/f.u.): 7.63

a b c (Å): 9.3044 5.0680 13.1093
angles (deg): 90.00 100.93 90.00
Space group P2/m (No. 10)
Symmetry-distinct sites (fractional):
Cs (0.2241, 0.0000, 0.1874) x2
Cs (0.2687, 0.5000, 0.8101) x2
K (0.0000, 0.0000, 0.5000) x1
K (0.5000, 0.5000, 0.5000) x1
Cd (0.5000, 0.0000, 0.0000) x1
Hg (0.0000, 0.5000, 0.0000) x1